(1)
The following is a DFT calculation (PBE) of EuHgAs after structural relaxation.

Values from the calculation:
The calculation puts the density of states at the Fermi level at 4.5 states/eV per cell. As for the raw total energy: -67.752 eV for the cell shown. As for the total magnetization: 7.10 μB per formula unit. For the energy above the most stable polymorph in this dataset, the calculation gives 0.047 eV per atom. Its space group is F-43m, No. 216.

Geometry as POSCAR:
```
EuHgAs
1.0
7.068 0.000 0.000
0.000 7.068 0.000
0.000 0.000 7.068
Eu Hg As
4 4 4
Direct
0.000 0.000 0.000
0.000 0.500 0.500
0.500 0.000 0.500
0.500 0.500 0.000
0.000 0.000 0.500
0.000 0.500 0.000
0.500 0.000 0.000
0.500 0.500 0.500
0.250 0.250 0.750
0.250 0.750 0.250
0.750 0.250 0.250
0.750 0.750 0.750
```

***

(2)
The following is a DFT calculation (PBE) of Ti2Si2Ni after structural relaxation.

Values from the calculation:
The calculation puts the density of states at the Fermi level at 3.5 states/eV per cell. As for the raw total energy: -69.844 eV for the cell shown. As for the total magnetization: 0.00 μB per formula unit. As for the raw formation energy: -0.501 eV per atom. Its space group is Ibam, No. 72.

Geometry as POSCAR:
```
Ti2Si2Ni
1.0
-3.000 5.138 2.523
3.000 -5.138 2.523
3.000 5.138 -2.523
Ti Si Ni
4 4 2
Direct
0.129 0.179 0.307
0.371 0.679 0.050
0.629 0.321 0.950
0.871 0.821 0.693
0.124 0.746 0.871
0.376 0.246 0.622
0.624 0.754 0.378
0.876 0.254 0.129
0.250 0.750 0.500
0.750 0.250 0.500
```

***

(3)
The following is a DFT calculation (PBE) of ErTi2Zn9 after structural relaxation.

Values from the calculation:
The calculation puts the density of states at the Fermi level at 6.1 states/eV per cell. As for the raw total energy: -34.450 eV for the cell shown. As for the total magnetization: 2.59 μB per formula unit. Its space group is R-3m, No. 166.

Geometry as POSCAR:
```
ErTi2Zn9
1.0
2.587 1.494 8.286
-2.587 1.494 8.286
0.000 -2.987 8.286
Er Ti Zn
1 2 9
Direct
0.000 0.000 0.000
0.147 0.147 0.147
0.853 0.853 0.853
0.079 0.591 0.591
0.335 0.335 0.335
0.409 0.409 0.921
0.409 0.921 0.409
0.500 0.500 0.500
0.591 0.079 0.591
0.591 0.591 0.079
0.665 0.665 0.665
0.921 0.409 0.409
```

***

(4)
The following is a DFT calculation (PBE) of Cs2BeAgCl6 after structural relaxation.

Values from the calculation:
The calculation puts the density of states at the Fermi level at 7.7 states/eV per cell. As for the raw total energy: -31.535 eV for the cell shown. As for the total magnetization: 0.01 μB per formula unit. As for the raw formation energy: -1.217 eV per atom. Its space group is I4/mmm, No. 139.

Geometry as POSCAR:
```
Cs2BeAgCl6
1.0
-3.586 3.586 5.529
3.586 -3.586 5.529
3.586 3.586 -5.529
Cs Be Ag Cl
2 1 1 6
Direct
0.250 0.750 0.500
0.750 0.250 0.500
0.000 0.000 0.000
0.500 0.500 0.000
0.212 0.212 0.424
0.212 0.788 0.000
0.283 0.283 0.000
0.717 0.717 0.000
0.788 0.212 0.000
0.788 0.788 0.576
```

***

(5)
The following is a DFT calculation (PBE) of InB3As after structural relaxation.

Values from the calculation:
The calculation puts the density of states at the Fermi level at 2.9 states/eV per cell. As for the raw total energy: -18.914 eV for the cell shown. As for the total magnetization: 0.00 μB per formula unit. For the energy above the most stable polymorph in this dataset, the calculation gives 0.000 eV per atom. Its space group is Pm-3m, No. 221.

Geometry as POSCAR:
```
InB3As
1.0
4.211 0.000 0.000
0.000 4.211 0.000
0.000 0.000 4.211
In B As
1 3 1
Direct
0.000 0.000 0.000
0.000 0.500 0.500
0.500 0.000 0.500
0.500 0.500 0.000
0.500 0.500 0.500
```

***

(6)
The following is a DFT calculation (PBE) of TlSb2Pb2 after structural relaxation.

Values from the calculation:
The calculation puts the density of states at the Fermi level at 7.1 states/eV per cell. As for the raw total energy: -35.406 eV for the cell shown. As for the total magnetization: 0.00 μB per formula unit. For the energy above the most stable polymorph in this dataset, the calculation gives 0.050 eV per atom. As for the raw formation energy: 0.065 eV per atom. Its space group is I4/mmm, No. 139.

Geometry as POSCAR:
```
TlSb2Pb2
1.0
4.987 0.000 0.000
0.000 4.987 0.000
0.000 0.000 14.253
Tl Sb Pb
2 4 4
Direct
0.000 0.000 0.000
0.500 0.500 0.500
0.000 0.000 0.394
0.000 0.000 0.606
0.500 0.500 0.106
0.500 0.500 0.894
0.000 0.500 0.250
0.000 0.500 0.750
0.500 0.000 0.250
0.500 0.000 0.750
```

***

(7)
The following is a DFT calculation (PBE) of YCo2Au after structural relaxation.

Values from the calculation:
The calculation puts the density of states at the Fermi level at 10.2 states/eV per cell. As for the raw total energy: -74.354 eV for the cell shown. As for the total magnetization: 2.65 μB per formula unit. For the energy above the most stable polymorph in this dataset, the calculation gives 0.000 eV per atom. Its space group is R3m, No. 160.

Geometry as POSCAR:
```
YCo2Au
1.0
4.094 0.000 0.000
-2.047 3.545 0.000
0.000 0.000 14.995
Y Co Au
3 6 3
Direct
0.000 0.000 0.000
0.333 0.667 0.667
0.667 0.333 0.333
0.000 0.000 0.207
0.000 0.000 0.540
0.333 0.667 0.207
0.333 0.667 0.874
0.667 0.333 0.540
0.667 0.333 0.873
0.000 0.000 0.792
0.333 0.667 0.459
0.667 0.333 0.126
```

***

(8)
The following is a DFT calculation (PBE) of Dy3Er3Tm4 after structural relaxation.

Values from the calculation:
The calculation puts the density of states at the Fermi level at 7.9 states/eV per cell. As for the raw total energy: -44.447 eV for the cell shown. As for the total magnetization: 0.00 μB per formula unit. Its space group is Amm2, No. 38.

Geometry as POSCAR:
```
Dy3Er3Tm4
1.0
3.628 0.000 0.000
0.000 6.520 6.523
0.000 -6.520 6.523
Dy Er Tm
3 3 4
Direct
0.000 0.000 0.000
0.000 0.500 0.845
0.000 0.845 0.500
0.000 0.345 0.345
0.500 0.173 0.671
0.500 0.671 0.173
0.500 0.048 0.298
0.500 0.298 0.048
0.500 0.547 0.547
0.500 0.798 0.798
```

***

(9)
The following is a DFT calculation (PBE) of Zr2Al2Tl after structural relaxation.

Values from the calculation:
The calculation puts the density of states at the Fermi level at 6.3 states/eV per cell. As for the raw total energy: -54.355 eV for the cell shown. As for the total magnetization: 0.00 μB per formula unit. For the energy above the most stable polymorph in this dataset, the calculation gives 0.192 eV per atom. Its space group is P4/mbm, No. 127.

Geometry as POSCAR:
```
Zr2Al2Tl
1.0
8.137 0.000 0.000
0.000 8.137 0.000
0.000 0.000 3.314
Zr Al Tl
4 4 2
Direct
0.130 0.370 0.000
0.370 0.870 0.000
0.630 0.130 0.000
0.870 0.630 0.000
0.171 0.671 0.500
0.329 0.171 0.500
0.671 0.829 0.500
0.829 0.329 0.500
0.000 0.000 0.000
0.500 0.500 0.000
```

***

(10)
The following is a DFT calculation (PBE) of Pu6TlOs after structural relaxation.

Values from the calculation:
The calculation puts the density of states at the Fermi level at 36.1 states/eV per cell. As for the raw total energy: -98.281 eV for the cell shown. As for the total magnetization: 21.83 μB per formula unit. Its space group is P4/mmm, No. 123.

Geometry as POSCAR:
```
Pu6TlOs
1.0
4.697 0.000 0.000
0.000 4.697 0.000
0.000 0.000 8.831
Pu Tl Os
6 1 1
Direct
0.000 0.000 0.000
0.000 0.000 0.500
0.000 0.500 0.223
0.000 0.500 0.777
0.500 0.000 0.223
0.500 0.000 0.777
0.500 0.500 0.500
0.500 0.500 0.000
```

***

(11)
The following is a DFT calculation (PBE) of Ce3Sb3As after structural relaxation.

Values from the calculation:
The calculation puts the density of states at the Fermi level at 36.2 states/eV per cell. As for the raw total energy: -80.419 eV for the cell shown. As for the total magnetization: 2.09 μB per formula unit. As for the raw formation energy: -0.770 eV per atom. Its space group is C2/m, No. 12.

Geometry as POSCAR:
```
Ce3Sb3As
1.0
4.146 -6.875 0.000
4.146 6.875 0.000
-0.480 0.000 7.978
Ce Sb As
6 6 2
Direct
0.094 0.094 0.286
0.113 0.488 0.765
0.488 0.113 0.765
0.512 0.887 0.235
0.887 0.512 0.235
0.906 0.906 0.714
0.161 0.839 0.000
0.203 0.797 0.500
0.454 0.454 0.168
0.546 0.546 0.832
0.797 0.203 0.500
0.839 0.161 0.000
0.253 0.253 0.620
0.747 0.747 0.380
```

***

(12)
The following is a DFT calculation (PBE) of Mo2As after structural relaxation.

Values from the calculation:
The calculation puts the density of states at the Fermi level at 12.9 states/eV per cell. As for the raw total energy: -102.754 eV for the cell shown. As for the total magnetization: 0.00 μB per formula unit. For the energy above the most stable polymorph in this dataset, the calculation gives 0.241 eV per atom. Its space group is I4_1/amd, No. 141.

Geometry as POSCAR:
```
Mo2As
1.0
-2.011 2.011 11.761
2.011 -2.011 11.761
2.011 2.011 -11.761
Mo As
8 4
Direct
0.120 0.370 0.750
0.287 0.537 0.750
0.370 0.120 0.250
0.463 0.713 0.750
0.537 0.287 0.250
0.630 0.880 0.750
0.713 0.463 0.250
0.880 0.630 0.250
0.049 0.799 0.250
0.201 0.951 0.250
0.799 0.049 0.750
0.951 0.201 0.750
```

***

Q: raw total energy of number 7 (YCo2Au)?
A: -74.354 eV for the cell shown